A plane-wave DFT calculation with PBE-GGA was carried out for Ti2AlGa2 after structural relaxation.

a = 6.5834 Å, b = 6.5834 Å, c = 3.7551 Å
α = 90.00°, β = 90.00°, γ = 90.00°
Last column: nearest neighbours and their distance in Å.
Positions (direct):
Ti: 0.1735 0.3265 0.0000  6 Ga 2.62-2.76
Ti: 0.3265 0.8265 0.0000  6 Ga 2.62-2.76
Ti: 0.6735 0.1735 0.0000  6 Ga 2.62-2.76
Ti: 0.8265 0.6735 0.0000  6 Ga 2.62-2.76
Al: 0.0000 0.0000 0.5000  4 Ga 2.58
Al: 0.5000 0.5000 0.5000  4 Ga 2.58
Ga: 0.1302 0.6302 0.5000  1 Ga 2.42, 2 Al 2.58, 2 Ti 2.62
Ga: 0.3698 0.1302 0.5000  1 Ga 2.42, 2 Al 2.58, 2 Ti 2.62
Ga: 0.6302 0.8698 0.5000  1 Ga 2.42, 2 Al 2.58, 2 Ti 2.62
Ga: 0.8698 0.3698 0.5000  1 Ga 2.42, 2 Al 2.58, 2 Ti 2.62

Summary:
**Energy above the lowest structure with this stoichiometry**: 43 meV per atom
**VASP energy**: -5.49 eV/atom
**N(E_F)**: 3.1 states/eV/f.u.
**Formation energy**: -0.372 eV per atom

A plane-wave DFT calculation with PBE-GGA was carried out for Ti7AlGa4 after structural relaxation.

a = 5.6726 Å, b = 5.6726 Å, c = 9.6711 Å
α = 116.94°, β = 116.94°, γ = 51.35°
Last column: nearest neighbours and their distance in Å.
Positions (direct):
Ti: 0.0000 0.0000 0.0000  2 Al 2.46, 2 Ti 2.62, 2 Ga 2.63
Ti: 0.1523 0.1523 0.5622  4 Ga 2.57-2.74, 1 Ti 2.72
Ti: 0.2899 0.2899 0.0960  2 Ti 2.56-2.62, 4 Ga 2.66-2.79, 1 Al 2.73
Ti: 0.4675 0.4675 0.6301  1 Ti 2.56, 3 Ga 2.76-2.77
Ti: 0.5325 0.5325 0.3699  1 Ti 2.56, 3 Ga 2.76-2.77
Ti: 0.7101 0.7101 0.9040  2 Ti 2.56-2.62, 4 Ga 2.66-2.79, 1 Al 2.73
Ti: 0.8477 0.8477 0.4378  4 Ga 2.57-2.74, 1 Ti 2.72
Al: 0.5000 0.5000 0.0000  4 Ti 2.46-2.73
Ga: 0.0744 0.0744 0.7763  7 Ti 2.57-2.79, 1 Ga 2.65
Ga: 0.2191 0.2191 0.3255  1 Ga 2.65, 6 Ti 2.66-2.80
Ga: 0.7809 0.7809 0.6745  1 Ga 2.65, 6 Ti 2.66-2.80
Ga: 0.9256 0.9256 0.2237  7 Ti 2.57-2.79, 1 Ga 2.65

Summary:
**VASP energy**: -5.98 eV/atom
**N(E_F)**: 12.7 states/eV/f.u.
**Formation energy**: -0.058 eV per atom

A plane-wave DFT calculation with PBE-GGA was carried out for Ti12Al6Ga after structural relaxation.

a = 6.8145 Å, b = 6.8145 Å, c = 6.8145 Å
α = 89.85°, β = 89.85°, γ = 89.85°
Last column: nearest neighbours and their distance in Å.
Positions (direct):
Ti: 0.0222 0.3014 0.9384  4 Al 2.72-2.86, 4 Ti 2.74-2.85
Ti: 0.0616 0.9778 0.6986  4 Al 2.72-2.86, 4 Ti 2.74-2.85
Ti: 0.1198 0.3507 0.4437  4 Ti 2.72-2.78, 5 Al 2.77-2.99, 1 Ga 2.81
Ti: 0.3014 0.9384 0.0222  4 Al 2.72-2.86, 4 Ti 2.74-2.85
Ti: 0.3507 0.4437 0.1198  4 Ti 2.72-2.78, 5 Al 2.77-2.99, 1 Ga 2.81
Ti: 0.4437 0.1198 0.3507  4 Ti 2.72-2.78, 5 Al 2.77-2.99, 1 Ga 2.81
Ti: 0.5563 0.8802 0.6493  4 Ti 2.72-2.78, 5 Al 2.77-2.99, 1 Ga 2.81
Ti: 0.6493 0.5563 0.8802  4 Ti 2.72-2.78, 5 Al 2.77-2.99, 1 Ga 2.81
Ti: 0.6986 0.0616 0.9778  4 Al 2.72-2.86, 4 Ti 2.74-2.85
Ti: 0.8802 0.6493 0.5563  4 Ti 2.72-2.78, 5 Al 2.77-2.99, 1 Ga 2.81
Ti: 0.9384 0.0222 0.3014  4 Al 2.72-2.86, 4 Ti 2.74-2.85
Ti: 0.9778 0.6986 0.0616  4 Al 2.72-2.86, 4 Ti 2.74-2.85
Al: 0.2304 0.7610 0.3819  1 Ga 2.68, 9 Ti 2.72-2.99, 2 Al 2.81
Al: 0.2390 0.6181 0.7696  1 Ga 2.68, 9 Ti 2.72-2.99, 2 Al 2.81
Al: 0.3819 0.2304 0.7610  1 Ga 2.68, 9 Ti 2.72-2.99, 2 Al 2.81
Al: 0.6181 0.7696 0.2390  1 Ga 2.68, 9 Ti 2.72-2.99, 2 Al 2.81
Al: 0.7610 0.3819 0.2304  1 Ga 2.68, 9 Ti 2.72-2.99, 2 Al 2.81
Al: 0.7696 0.2390 0.6181  1 Ga 2.68, 9 Ti 2.72-2.99, 2 Al 2.81
Ga: 0.5000 0.5000 0.5000  6 Al 2.68, 6 Ti 2.81

Summary:
**VASP energy**: -6.55 eV/atom
**N(E_F)**: 21.4 states/eV/f.u.
**Formation energy**: -0.226 eV per atom

A plane-wave DFT calculation with PBE-GGA was carried out for Ti4Al2Ga after structural relaxation.

a = 9.6135 Å, b = 9.6135 Å, c = 2.8549 Å
α = 90.00°, β = 90.00°, γ = 152.28°
Last column: nearest neighbours and their distance in Å.
Positions (direct):
Ti: 0.0831 0.9169 0.0000  2 Ga 2.78, 2 Al 2.81, 7 Ti 2.85-3.10
Ti: 0.3692 0.6308 0.5000  3 Al 2.77-2.92, 2 Ga 2.83, 6 Ti 2.85
Ti: 0.6308 0.3692 0.5000  3 Al 2.77-2.92, 2 Ga 2.83, 6 Ti 2.85
Ti: 0.9169 0.0831 0.0000  2 Ga 2.78, 2 Al 2.81, 7 Ti 2.85-3.10
Al: 0.2128 0.7872 0.5000  4 Al 2.69-2.85, 5 Ti 2.77-2.92
Al: 0.7872 0.2128 0.5000  4 Al 2.69-2.85, 5 Ti 2.77-2.92
Ga: 0.5000 0.5000 0.0000  8 Ti 2.78-2.83, 2 Ga 2.85

Summary:
**Energy above the lowest structure with this stoichiometry**: 0 meV per atom
**VASP energy**: -6.04 eV/atom
**N(E_F)**: 8.5 states/eV/f.u.
**Formation energy**: -0.024 eV per atom

A plane-wave DFT calculation with PBE-GGA was carried out for Ti3AlGa2 after structural relaxation.

a = 3.4010 Å, b = 3.4010 Å, c = 8.3175 Å
α = 90.00°, β = 90.00°, γ = 90.00°
Last column: nearest neighbours and their distance in Å.
Positions (direct):
Ti: 0.0000 0.0000 0.0000  2 Ti 2.71, 8 Ga 2.78
Ti: 0.0000 0.0000 0.3260  2 Ti 2.71-2.89, 4 Ga 2.74, 4 Al 2.81
Ti: 0.0000 0.0000 0.6740  2 Ti 2.71-2.89, 4 Ga 2.74, 4 Al 2.81
Al: 0.5000 0.5000 0.5000  2 Ga 2.77, 8 Ti 2.81
Ga: 0.5000 0.5000 0.1674  8 Ti 2.74-2.78, 1 Al 2.77, 1 Ga 2.79
Ga: 0.5000 0.5000 0.8326  8 Ti 2.74-2.78, 1 Al 2.77, 1 Ga 2.79

Summary:
**Energy above the lowest structure with this stoichiometry**: 87 meV per atom
**VASP energy**: -5.91 eV/atom
**N(E_F)**: 6.4 states/eV/f.u.
**Formation energy**: -0.332 eV per atom

A plane-wave DFT calculation with PBE-GGA was carried out for Ti5AlGa2 after structural relaxation.

a = 8.4955 Å, b = 8.4955 Å, c = 8.4955 Å
α = 152.59°, β = 152.59°, γ = 39.15°
Last column: nearest neighbours and their distance in Å.
Positions (direct):
Ti: 0.0000 0.0000 0.0000  4 Al 2.85, 8 Ti 2.88
Ti: 0.1283 0.6283 0.5000  4 Ga 2.79-2.81, 6 Ti 2.85-2.88, 2 Al 2.88
Ti: 0.3717 0.8717 0.5000  4 Ga 2.79-2.81, 6 Ti 2.85-2.88, 2 Al 2.88
Ti: 0.6283 0.1283 0.5000  4 Ga 2.79-2.81, 6 Ti 2.85-2.88, 2 Al 2.88
Ti: 0.8717 0.3717 0.5000  4 Ga 2.79-2.81, 6 Ti 2.85-2.88, 2 Al 2.88
Al: 0.5000 0.5000 0.0000  12 Ti 2.85-2.88
Ga: 0.2493 0.2493 0.0000  8 Ti 2.79-2.81, 4 Ga 2.85
Ga: 0.7507 0.7507 0.0000  8 Ti 2.79-2.81, 4 Ga 2.85

Summary:
**Energy above the lowest structure with this stoichiometry**: 0 meV per atom
**VASP energy**: -6.52 eV/atom
**N(E_F)**: 9.7 states/eV/f.u.
**Formation energy**: -0.364 eV per atom

A plane-wave DFT calculation with PBE-GGA was carried out for Ti2Al2Ga5 after structural relaxation.

a = 8.3670 Å, b = 8.3670 Å, c = 8.3670 Å
α = 78.89°, β = 144.88°, γ = 112.01°
Last column: nearest neighbours and their distance in Å.
Positions (direct):
Ti: 0.0000 0.0000 0.0000  6 Ga 2.73-2.85, 4 Al 2.88-2.94
Ti: 0.0000 0.5000 0.5000  6 Ga 2.73-2.85, 4 Al 2.88-2.94
Ti: 0.0594 0.8478 0.7116  6 Ga 2.74-3.02, 2 Al 2.98
Ti: 0.1362 0.3478 0.2884  6 Ga 2.74-3.02, 2 Al 2.98
Al: 0.5398 0.1538 0.6004  4 Ga 2.61-2.73, 1 Al 2.77, 1 Ti 2.88
Al: 0.5398 0.4395 0.8860  4 Ga 2.61-2.73, 1 Al 2.77, 1 Ti 2.88
Al: 0.5535 0.6538 0.1140  4 Ga 2.61-2.73, 1 Al 2.77, 1 Ti 2.88
Al: 0.5535 0.9395 0.3996  4 Ga 2.61-2.73, 1 Al 2.77, 1 Ti 2.88
Ga: 0.0656 0.3243 0.8696  5 Ga 2.57-2.87, 1 Al 2.61, 2 Ti 2.75-2.85
Ga: 0.0656 0.6961 0.2413  5 Ga 2.57-2.87, 1 Al 2.61, 2 Ti 2.75-2.85
Ga: 0.1792 0.6216 0.0577  4 Ga 2.62-2.84, 2 Al 2.66, 2 Ti 2.74-2.81
Ga: 0.4547 0.1961 0.1304  5 Ga 2.57-2.87, 1 Al 2.61, 2 Ti 2.75-2.85
Ga: 0.4547 0.8243 0.7587  5 Ga 2.57-2.87, 1 Al 2.61, 2 Ti 2.75-2.85
Ga: 0.5639 0.1216 0.9423  4 Ga 2.62-2.84, 2 Al 2.66, 2 Ti 2.74-2.81
Ga: 0.6372 0.4656 0.4684  5 Ga 2.63-2.87, 2 Al 2.72-2.73, 2 Ti 2.73-2.82
Ga: 0.6372 0.6688 0.6716  5 Ga 2.63-2.87, 2 Al 2.72-2.73, 2 Ti 2.73-2.82
Ga: 0.9971 0.1688 0.5316  5 Ga 2.63-2.87, 2 Al 2.72-2.73, 2 Ti 2.73-2.82
Ga: 0.9971 0.9656 0.3284  5 Ga 2.63-2.87, 2 Al 2.72-2.73, 2 Ti 2.73-2.82

Summary:
**VASP energy**: -4.41 eV/atom
**N(E_F)**: 5.8 states/eV/f.u.
**Formation energy**: -0.144 eV per atom

A plane-wave DFT calculation with PBE-GGA was carried out for Ti5AlGa4 after structural relaxation.

a = 6.2704 Å, b = 6.2704 Å, c = 6.2704 Å
α = 100.66°, β = 100.66°, γ = 129.06°
Last column: nearest neighbours and their distance in Å.
Positions (direct):
Ti: 0.0000 0.0000 0.0000  1 Al 2.54, 4 Ga 2.65
Ti: 0.1622 0.9333 0.6122  5 Ga 2.62-2.74, 1 Al 2.83, 1 Ti 2.86
Ti: 0.3211 0.5500 0.3878  5 Ga 2.62-2.74, 1 Al 2.83, 1 Ti 2.86
Ti: 0.5500 0.1622 0.2288  5 Ga 2.62-2.74, 1 Al 2.83, 1 Ti 2.86
Ti: 0.9333 0.3211 0.7712  5 Ga 2.62-2.74, 1 Al 2.83, 1 Ti 2.86
Al: 0.4710 0.4710 0.0000  5 Ti 2.54-2.83, 4 Ga 2.71
Ga: 0.0125 0.6484 0.1690  6 Ti 2.62-2.74, 1 Al 2.71
Ga: 0.4794 0.8435 0.8310  6 Ti 2.62-2.74, 1 Al 2.71
Ga: 0.6484 0.4794 0.6359  6 Ti 2.62-2.74, 1 Al 2.71
Ga: 0.8435 0.0125 0.3641  6 Ti 2.62-2.74, 1 Al 2.71

Summary:
**Energy above the lowest structure with this stoichiometry**: 204 meV per atom
**VASP energy**: -5.67 eV/atom
**N(E_F)**: 8.6 states/eV/f.u.
**Formation energy**: -0.137 eV per atom

| no. | total magnetic moment (μB per cell) |
| --- | --- |
| 1 | 0.000 |
| 2 | 2.221 |
| 3 | 0.001 |
| 4 | 0.002 |
| 5 | 0.000 |
| 6 | 0.000 |
| 7 | 0.001 |
| 8 | 0.000 |